Record 1
{
  "formula": "BeCrGa2Au",
  "functional": "PBE",
  "state": "relaxed",
  "magnetic_moment_mub_per_cell": 4.64,
  "total_energy_ev_per_atom": -3.858,
  "space_group": "P4/mmm",
  "formation_enthalpy_0k_ev_per_fu": 3.39,
  "lattice": [[-2.8797, -1.2548, 3.7783], [3.5596, -0.6714, 2.4900], [-0.1337, 4.6909, 1.4560]],
  "species": ["Cr", "Au", "Ga", "Ga", "Be"],
  "frac_coords": [[0.5000, 0.5000, 0.5000], [0.0000, 0.0000, 0.0000], [0.0000, 0.0000, 0.5000], [0.5000, 0.0000, 0.0000], [0.0000, 0.5000, 0.0000]]
}


Record 2
{
  "formula": "BeCr2IrAu",
  "functional": "PBE",
  "state": "relaxed",
  "magnetic_moment_mub_per_cell": 3.02,
  "total_energy_ev_per_atom": -6.246,
  "space_group": "P4/mmm",
  "formation_enthalpy_0k_ev_per_fu": 3.88,
  "lattice": [[4.0485, 0.0000, 0.0000], [0.0000, 4.1488, 0.0000], [0.0000, 0.0000, 4.0485]],
  "species": ["Cr", "Cr", "Ir", "Au", "Be"],
  "frac_coords": [[0.0000, 0.0000, 0.5000], [0.5000, 0.0000, 0.0000], [0.5000, 0.5000, 0.5000], [0.0000, 0.5000, 0.0000], [0.0000, 0.0000, 0.0000]]
}


Record 3
{
  "formula": "MgBe2CrAu",
  "functional": "PBE",
  "state": "relaxed",
  "magnetic_moment_mub_per_cell": 0.00,
  "total_energy_ev_per_atom": -2.786,
  "space_group": "P4/mmm",
  "formation_enthalpy_0k_ev_per_fu": 8.02,
  "lattice": [[4.2490, 0.0000, 0.0000], [0.0000, 4.4317, 0.0000], [0.0000, 0.0000, 4.2490]],
  "species": ["Cr", "Mg", "Au", "Be", "Be"],
  "frac_coords": [[0.0000, 0.5000, 0.0000], [0.0000, 0.0000, 0.0000], [0.5000, 0.5000, 0.5000], [0.0000, 0.0000, 0.5000], [0.5000, 0.0000, 0.0000]]
}


Record 4
{
  "formula": "RbBeCr2Au",
  "functional": "PBE",
  "state": "relaxed",
  "magnetic_moment_mub_per_cell": 11.79,
  "total_energy_ev_per_atom": -3.102,
  "space_group": "P4/mmm",
  "formation_enthalpy_0k_ev_per_fu": 11.71,
  "lattice": [[6.4218, 0.0000, 0.0000], [0.0000, 5.9913, 0.0000], [0.0000, 0.0000, 6.4218]],
  "species": ["Cr", "Cr", "Au", "Rb", "Be"],
  "frac_coords": [[0.0000, 0.0000, 0.5000], [0.5000, 0.0000, 0.0000], [0.0000, 0.5000, 0.0000], [0.0000, 0.0000, 0.0000], [0.5000, 0.5000, 0.5000]]
}